No. 1
Below is a relaxed structure of KZr2TiH, with properties calculated at the PBE-GGA level.

Cell lengths 5.133, 5.133, 4.266 Å; angles 90.00, 90.00, 90.00 degrees
Element x y z (fractional)
K  0.000  0.000  0.000
Zr  0.000  0.500  0.000
Zr  0.500  0.000  0.000
Ti  0.000  0.000  0.500
H  0.500  0.500  0.500

- energy (eV per atom) = -3.32
- ρ (g/cm3) = 3.99
- space group = P4/mmm (123)

***

No. 2
Below is a relaxed structure of K2TlH, with properties calculated at the PBE-GGA level.

Cell lengths 10.548, 10.548, 10.548 Å; angles 20.75, 20.75, 20.75 degrees
Element x y z (fractional)
K  0.112  0.112  0.112
K  0.888  0.888  0.888
Tl  0.000  0.000  0.000
H  0.500  0.500  0.500

- energy (eV per atom) = -1.96
- ρ (g/cm3) = 3.65
- space group = R-3m (166)

***

No. 3
Below is a relaxed structure of K5TlH6, with properties calculated at the PBE-GGA level.

Cell lengths 6.831, 6.831, 6.823 Å; angles 99.62, 99.62, 119.97 degrees
Element x y z (fractional)
K  0.000  0.000  0.000
K  0.167  0.833  0.500
K  0.337  0.663  0.000
K  0.663  0.337  0.000
K  0.833  0.167  0.500
Tl  0.500  0.500  0.500
H  0.085  0.417  0.250
H  0.251  0.251  0.748
H  0.417  0.085  0.250
H  0.583  0.915  0.750
H  0.749  0.749  0.252
H  0.915  0.583  0.750

- energy (eV per atom) = -2.44
- ρ (g/cm3) = 2.59
- space group = C2/m (12)